# SCAN CdAgN3, PBEsol geometry
data_CdAgN3
_space_group_name_H-M_alt 'P m -3 m'
_space_group_IT_number 221
_space_group_name_Hall '-P 4 2 3'
_cell_length_a 4.2046
_cell_length_b 4.2046
_cell_length_c 4.2046
_cell_angle_alpha 90.00
_cell_angle_beta 90.00
_cell_angle_gamma 90.00
loop_
_atom_site_label
_atom_site_type_symbol
_atom_site_fract_x
_atom_site_fract_y
_atom_site_fract_z
Cd1 Cd 0.0000 0.0000 0.0000
Ag1 Ag 0.5000 0.5000 0.5000
N1 N 0.0000 0.0000 0.5000
# - formation energy without anion corrections (meV per atom) = 2318
# - N(E_F) (states/eV/f.u.) = 2.15
# - energy (eV/cell) = -78.1
# - ρ (g/cm3) = 5.86